# 1
KNbAg2Se4 (meta-GGA SCAN, single point on PBEsol structure); ΔE_f (raw) = -0.74 eV/atom; magnetic moment = 0.00 μB/f.u.
1.0
7.984 0.000 0.000
0.000 9.542 2.990
0.000 -9.542 2.990
K Nb Ag Se
2 2 4 8
Cartesian
1.996 -6.035 2.990 K
5.988 6.035 2.990 K
1.996 -2.211 1.310 Nb
5.988 2.211 1.310 Nb
0.000 0.000 1.520 Ag
1.996 -2.280 4.301 Ag
3.992 0.000 1.520 Ag
5.988 2.280 4.301 Ag
0.033 2.303 2.687 Se
1.996 5.303 2.993 Se
1.996 -0.190 5.841 Se
3.959 2.303 2.687 Se
4.025 -2.303 2.687 Se
5.988 -5.303 2.993 Se
5.988 0.190 5.841 Se
7.951 -2.303 2.687 Se

# 2
MgTlZn2 (meta-GGA SCAN, single point on PBEsol structure); formation enthalpy at 0 K = 0.148 eV per atom; magnetic moment = 0.00 μB/f.u.
1.0
1.602 0.925 9.018
-1.602 0.925 9.018
0.000 -1.850 9.018
Mg Tl Zn
1 1 2
Cartesian
0.000 0.000 0.000 Mg
0.000 0.000 13.527 Tl
0.000 0.000 6.873 Zn
0.000 0.000 20.180 Zn

# 3
Sn2Sb2Pb (meta-GGA SCAN, single point on PBEsol structure); ΔE_f (raw) = 0.14 eV/atom; magnetic moment = 0.00 μB/f.u.
1.0
8.517 0.000 0.000
0.000 8.517 0.000
0.000 0.000 3.874
Sn Sb Pb
4 4 2
Cartesian
1.255 3.003 0.000 Sn
3.003 7.262 0.000 Sn
5.514 1.255 0.000 Sn
7.262 5.514 0.000 Sn
1.277 5.536 1.937 Sb
2.982 1.277 1.937 Sb
5.536 7.240 1.937 Sb
7.240 2.982 1.937 Sb
0.000 0.000 1.937 Pb
4.259 4.259 1.937 Pb

# 4
KHgH2Cl3O (meta-GGA SCAN, single point on PBEsol structure); raw total energy = -123.1 eV per formula unit; magnetic moment = 0.00 μB/f.u.
1.0
8.372 0.000 0.000
0.000 4.270 0.000
0.000 0.000 17.773
K Hg H Cl O
4 4 8 12 4
Cartesian
0.543 1.068 3.280 K
3.643 3.203 12.166 K
4.729 1.068 5.607 K
7.829 3.203 14.493 K
0.361 3.203 7.114 Hg
3.825 1.068 16.001 Hg
4.547 3.203 1.772 Hg
8.011 1.068 10.659 Hg
0.634 1.068 16.854 H
0.933 3.203 0.832 H
3.253 1.068 9.719 H
3.552 3.203 7.968 H
4.820 1.068 9.805 H
5.119 3.203 8.054 H
7.439 1.068 16.941 H
7.738 3.203 0.919 H
1.216 1.068 12.488 Cl
1.540 3.203 9.264 Cl
1.723 1.068 6.237 Cl
2.463 3.203 15.124 Cl
2.646 1.068 0.377 Cl
2.970 3.203 3.602 Cl
5.402 1.068 14.171 Cl
5.726 3.203 17.396 Cl
5.909 1.068 2.649 Cl
6.648 3.203 11.536 Cl
6.832 1.068 8.509 Cl
7.156 3.203 5.285 Cl
0.185 3.203 1.466 O
4.001 1.068 10.353 O
4.371 3.203 7.420 O
8.187 1.068 16.307 O

# 5
Cs2GeBi (meta-GGA SCAN, single point on PBEsol structure); formation enthalpy at 0 K = 0.267 eV per atom; magnetic moment = 1.00 μB/f.u.
1.0
0.000 4.345 4.345
4.345 0.000 4.345
4.345 4.345 0.000
Cs Ge Bi
2 1 1
Cartesian
2.172 2.172 2.172 Cs
6.517 6.517 6.517 Cs
0.000 0.000 0.000 Ge
4.345 4.345 4.345 Bi

# 6
FeSnAu3 (meta-GGA SCAN, single point on PBEsol structure); formation enthalpy at 0 K = 0.472 eV per atom; magnetic moment = 3.18 μB/f.u.
1.0
4.760 0.000 0.000
0.000 4.760 0.000
0.000 0.000 4.760
Fe Sn Au
1 1 3
Cartesian
0.000 0.000 0.000 Fe
2.380 2.380 2.380 Sn
0.000 0.000 2.380 Au
0.000 2.380 0.000 Au
2.380 0.000 0.000 Au

# 7
LaScSe (meta-GGA SCAN, single point on PBEsol structure); ΔE_f (raw) = -1.17 eV/atom; magnetic moment = 0.04 μB/f.u.
1.0
3.815 0.000 0.000
-1.908 3.304 0.000
0.000 0.000 6.483
La Sc Se
1 1 1
Cartesian
0.000 0.000 0.000 La
0.000 2.203 3.477 Sc
1.908 1.101 1.995 Se

# 8
InHg2 (meta-GGA SCAN, single point on PBEsol structure); formation enthalpy at 0 K = 0.032 eV per atom; magnetic moment = 0.00 μB/f.u.
1.0
6.194 -1.617 0.000
6.194 1.617 0.000
-1.954 0.000 7.170
In Hg
2 4
Cartesian
0.000 0.000 0.000 In
7.730 0.000 2.479 In
-0.428 0.000 4.447 Hg
2.877 0.000 4.844 Hg
4.382 0.000 2.081 Hg
7.145 0.000 6.843 Hg

Q: Which of these has the highest magnetic moment?
A: FeSnAu3

Q: Which of these has the highest magnetic moment?
A: FeSnAu3

Repeat the sixth record exactly.
FeSnAu3 (meta-GGA SCAN, single point on PBEsol structure); formation enthalpy at 0 K = 0.472 eV per atom; magnetic moment = 3.18 μB/f.u.
1.0
4.760 0.000 0.000
0.000 4.760 0.000
0.000 0.000 4.760
Fe Sn Au
1 1 3
Cartesian
0.000 0.000 0.000 Fe
2.380 2.380 2.380 Sn
0.000 0.000 2.380 Au
0.000 2.380 0.000 Au
2.380 0.000 0.000 Au